# Ac2NbH

A relaxed Ac2NbH crystal (PBE, the Alexandria database).

a b c (Å): 9.7862 9.7862 9.7862
angles (deg): 20.60 20.60 20.60
With the nearest neighbours (Å) after each atom.
Atoms (fractional coordinates):
Ac (0.1067, 0.1067, 0.1067)  3 H 2.65
Ac (0.8933, 0.8933, 0.8933)  3 H 2.65
Nb (0.0000, 0.0000, 0.0000)  2 Ac 3.07
H (0.5000, 0.5000, 0.5000)  6 Ac 2.65

Summary:
Raw total energy (eV per atom): -4.755
Symmetry: R-3m (166)
Volume (Å³/f.u.): 101.6

***

# AcNdH4

A relaxed AcNdH4 crystal (PBE, the Alexandria database).

a b c (Å): 4.0006 4.0006 5.7231
angles (deg): 90.00 90.00 90.00
With the nearest neighbours (Å) after each atom.
Atoms (fractional coordinates):
Ac (0.0000, 0.0000, 0.0000)  8 H 2.53
Nd (0.5000, 0.5000, 0.5000)  8 H 2.39
H (0.0000, 0.5000, 0.2711)  2 Nd 2.39, 2 Ac 2.53, 1 H 2.62
H (0.0000, 0.5000, 0.7289)  2 Nd 2.39, 2 Ac 2.53, 1 H 2.62
H (0.5000, 0.0000, 0.2711)  2 Nd 2.39, 2 Ac 2.53, 1 H 2.62
H (0.5000, 0.0000, 0.7289)  2 Nd 2.39, 2 Ac 2.53, 1 H 2.62

Summary:
Raw total energy (eV per atom): -4.322
Symmetry: P4/mmm (123)
Volume (Å³/f.u.): 91.6

***

# AcNd3H

A relaxed AcNd3H crystal (PBE, the Alexandria database).

a b c (Å): 5.2714 5.2714 5.2714
angles (deg): 90.00 90.00 90.00
With the nearest neighbours (Å) after each atom.
Atoms (fractional coordinates):
Ac (0.0000, 0.0000, 0.0000)  12 Nd 3.73
Nd (0.0000, 0.5000, 0.5000)  2 H 2.64
Nd (0.5000, 0.0000, 0.5000)  2 H 2.64
Nd (0.5000, 0.5000, 0.0000)  2 H 2.64
H (0.5000, 0.5000, 0.5000)  6 Nd 2.64

Summary:
Raw total energy (eV per atom): -4.518
Symmetry: Pm-3m (221)
Volume (Å³/f.u.): 146.5

***

Look up the volume of the second one.
91.6 Å³/f.u.

***

Among the records above, which one has the highest volume?
AcNd3H